A relaxed structure of SnMoPtO2, computed with PBE with a Hubbard U.

a b c (Å): 3.8572 3.8572 7.6988
angles (deg): 90.00 90.00 90.00
Last column: nearest neighbours and their distance in Å.
Sites, in units of the cell vectors:
Sn  0.0000  0.0000  0.0000  4 Pt 2.73
Mo  0.0000  0.0000  0.5000  4 O 1.93
Pt  0.5000  0.5000  0.0000  4 Sn 2.73
O  0.0000  0.5000  0.5000  2 Mo 1.93
O  0.5000  0.0000  0.5000  2 Mo 1.93

## Properties
* theoretical density: 6.4 g/cm3
* E: -6.005 eV/atom
* Fermi-level density of states: 1.849 states/eV per cell
* space group: P4/mmm